Here is a geometry-optimized GdTmLuAg structure from Alexandria. Energies are from GGA-PBE.

The structure belongs to space group F-43m (No. 216); the cell edges are 7.532, 7.532 and 7.532 Å and the angles 90.00°, 90.00° and 90.00°. The inequivalent atoms are Gd at (0.000, 0.000, 0.000), Tm at (0.000, 0.000, 0.500), Lu at (0.250, 0.250, 0.250) and Ag at (0.250, 0.250, 0.750).

Its crystal system is cubic. The total energy is -25.765 eV per formula unit.

=====

Here is a geometry-optimized Tb3DyIr structure from Alexandria. Energies are from GGA-PBE.

The structure belongs to space group Pmn2_1 (No. 31); the cell edges are 7.651, 6.539 and 6.204 Å and the angles 90.00°, 90.00° and 90.00°. The inequivalent atoms are Tb at (0.000, 0.153, 0.000), Tb at (0.250, 0.313, 0.504), Dy at (0.000, 0.847, 0.507) and Ir at (0.000, 0.501, 0.254).

Its crystal system is orthorhombic. The excess energy over the best structure of this formula in the dataset is 0.0000 eV per atom.

=====

| no. | size of the total moment (μB per formula unit) |
| --- | --- |
| 1 | 7.3 |
| 2 | 0.0 |